DFT (PBE) results for a relaxed structure of KSe3I.

**E_tot**: -2.54 eV/atom
**DOS(E_F)**: 2.61 states/eV per cell
**Uncorrected formation energy**: 81 meV/atom
**Magnetization**: 0.0 μB per formula unit

abc: 5.519 5.519 5.519
angles: 90.00 90.00 90.00
Space group Pm-3m (No. 221)
Asymmetric unit:
K 0.000 0.000 0.000
Se 0.000 0.500 0.500
I 0.500 0.500 0.500